# 1
Dy2TmGe: relaxed, PBE.

Unit cell a=10.2195 b=10.2195 c=10.2195 alpha=20.43 beta=20.43 gamma=20.43
Positions (direct):
1 Dy 0.2353 0.2353 0.2353
2 Dy 0.7647 0.7647 0.7647
3 Tm 0.0000 0.0000 0.0000
4 Ge 0.5000 0.5000 0.5000

DOS(E_F): 6.42 states/eV per cell
crystal system: trigonal
formation enthalpy at 0 K: -0.205 eV per atom

# 2
Ba2ScSbPb: relaxed, PBE.

Unit cell a=6.5332 b=6.5332 c=5.9879 alpha=90.00 beta=90.00 gamma=90.00
Positions (direct):
1 Ba 0.0000 0.5000 0.0000
2 Ba 0.5000 0.0000 0.0000
3 Sc 0.0000 0.0000 0.5000
4 Sb 0.5000 0.5000 0.0000
5 Pb 0.5000 0.5000 0.5000

DOS(E_F): 8.30 states/eV per cell
crystal system: tetragonal
energy relative to the elements, uncorrected: 0.232 eV per atom